Record 1
Entry from the Alexandria database: a relaxed InReW crystal (GGA-PBEsol).

Unit cell a=4.3551 b=4.3551 c=4.3551 alpha=60.00 beta=60.00 gamma=60.00
Last column: nearest neighbours and their distance in Å.
Positions (direct):
In 0.0000 0.0000 0.0000  4 W 2.67
Re 0.5000 0.5000 0.5000  4 W 2.67
W 0.2500 0.2500 0.2500  4 In 2.67, 4 Re 2.67

Computed properties:
* crystal system: cubic

***

Record 2
Entry from the Alexandria database: a relaxed ZnTcAs crystal (GGA-PBEsol).

Unit cell a=4.1139 b=4.1139 c=4.1139 alpha=60.00 beta=60.00 gamma=60.00
Last column: nearest neighbours and their distance in Å.
Positions (direct):
Zn 0.0000 0.0000 0.0000  4 As 2.52, 4 Tc 2.52
Tc 0.2500 0.2500 0.2500  4 Zn 2.52
As 0.7500 0.7500 0.7500  4 Zn 2.52

Computed properties:
* crystal system: cubic
* relative energy among the computed polymorphs: 977 meV/atom

***

Record 3
Entry from the Alexandria database: a relaxed Ba2NaNb5O15 crystal (GGA-PBEsol).

Unit cell a=12.5476 b=12.5476 c=4.0548 alpha=90.00 beta=90.00 gamma=90.00
Last column: nearest neighbours and their distance in Å.
Positions (direct):
Ba 0.1706 0.3294 0.0000  7 O 2.71-3.03
Ba 0.3294 0.8294 0.0000  7 O 2.71-3.03
Ba 0.6706 0.1706 0.0000  7 O 2.71-3.03
Ba 0.8294 0.6706 0.0000  7 O 2.71-3.03
Na 0.0000 0.0000 0.9546  8 O 2.57-2.78
Na 0.5000 0.5000 0.9546  8 O 2.57-2.78
Nb 0.0000 0.5000 0.4874  5 O 1.86-1.98
Nb 0.0762 0.7916 0.4915  5 O 1.86-2.02
Nb 0.2084 0.0762 0.4915  5 O 1.86-2.02
Nb 0.2916 0.5762 0.4915  5 O 1.86-2.02
Nb 0.4238 0.2916 0.4915  5 O 1.86-2.02
Nb 0.5000 0.0000 0.4874  5 O 1.86-1.98
Nb 0.5762 0.7084 0.4915  5 O 1.86-2.02
Nb 0.7084 0.4238 0.4915  5 O 1.86-2.02
Nb 0.7916 0.9238 0.4915  5 O 1.86-2.02
Nb 0.9238 0.2084 0.4915  5 O 1.86-2.02
O 0.0000 0.5000 0.0288  1 Nb 1.86
O 0.0067 0.3429 0.5398  2 Nb 1.98-1.99
O 0.0676 0.1412 0.5470  2 Nb 1.96-2.00
O 0.0795 0.7950 0.0329  1 Nb 1.86
O 0.1412 0.9324 0.5470  2 Nb 1.96-2.00
O 0.1571 0.4933 0.5398  2 Nb 1.98-1.99
O 0.2050 0.0795 0.0329  1 Nb 1.86
O 0.2200 0.7200 0.5320  2 Nb 2.02
O 0.2800 0.2200 0.5320  2 Nb 2.02
O 0.2950 0.5795 0.0329  1 Nb 1.86
O 0.3429 0.9933 0.5398  2 Nb 1.98-1.99
O 0.3588 0.4324 0.5470  2 Nb 1.96-2.00
O 0.4205 0.2950 0.0329  1 Nb 1.86
O 0.4324 0.6412 0.5470  2 Nb 1.96-2.00
O 0.4933 0.8429 0.5398  2 Nb 1.98-1.99
O 0.5000 0.0000 0.0288  1 Nb 1.86
O 0.5067 0.1571 0.5398  2 Nb 1.98-1.99
O 0.5676 0.3588 0.5470  2 Nb 1.96-2.00
O 0.5795 0.7050 0.0329  1 Nb 1.86
O 0.6412 0.5676 0.5470  2 Nb 1.96-2.00
O 0.6571 0.0067 0.5398  2 Nb 1.98-1.99
O 0.7050 0.4205 0.0329  1 Nb 1.86
O 0.7200 0.7800 0.5320  2 Nb 2.02
O 0.7800 0.2800 0.5320  2 Nb 2.02
O 0.7950 0.9205 0.0329  1 Nb 1.86
O 0.8429 0.5067 0.5398  2 Nb 1.98-1.99
O 0.8588 0.0676 0.5470  2 Nb 1.96-2.00
O 0.9205 0.2050 0.0329  1 Nb 1.86
O 0.9324 0.8588 0.5470  2 Nb 1.96-2.00
O 0.9933 0.6571 0.5398  2 Nb 1.98-1.99

Computed properties:
* crystal system: tetragonal
* energy relative to the elements, uncorrected: -2.6673 eV/atom

***

Record 4
Entry from the Alexandria database: a relaxed TmScHg2 crystal (GGA-PBEsol).

Unit cell a=5.0046 b=5.0046 c=5.0046 alpha=60.00 beta=60.00 gamma=60.00
Last column: nearest neighbours and their distance in Å.
Positions (direct):
Tm 0.0000 0.0000 0.0000  8 Hg 3.06
Sc 0.5000 0.5000 0.5000  8 Hg 3.06
Hg 0.2500 0.2500 0.2500  4 Sc 3.06, 4 Tm 3.06
Hg 0.7500 0.7500 0.7500  4 Tm 3.06, 4 Sc 3.06

Computed properties:
* crystal system: cubic

***

Record 5
Entry from the Alexandria database: a relaxed LiHg2Au crystal (GGA-PBEsol).

Unit cell a=3.0175 b=3.0175 c=8.1024 alpha=90.00 beta=90.00 gamma=90.00
Last column: nearest neighbours and their distance in Å.
Positions (direct):
Li 0.0000 0.0000 0.0000  4 Au 2.66, 4 Hg 2.84
Hg 0.0000 0.0000 0.4630  8 Hg 3.02-3.27, 4 Au 3.03
Hg 0.5000 0.5000 0.7682  4 Li 2.84, 4 Hg 3.02
Au 0.5000 0.5000 0.1969  4 Li 2.66

Computed properties:
* crystal system: tetragonal

***

Record 6
Entry from the Alexandria database: a relaxed PtAu2 crystal (GGA-PBEsol).

Unit cell a=5.7427 b=3.9438 c=8.6011 alpha=90.00 beta=90.00 gamma=90.00
Last column: nearest neighbours and their distance in Å.
Positions (direct):
Pt 0.1209 0.2500 0.0812  2 Pt 2.79, 10 Au 2.83-2.90
Pt 0.3791 0.7500 0.5812  2 Pt 2.79, 10 Au 2.83-2.90
Pt 0.6209 0.2500 0.4188  2 Pt 2.79, 10 Au 2.83-2.90
Pt 0.8791 0.7500 0.9188  2 Pt 2.79, 10 Au 2.83-2.90
Au 0.1253 0.2500 0.4168  7 Au 2.82-2.87, 5 Pt 2.83-2.90
Au 0.1259 0.2500 0.7506  7 Au 2.82-2.87, 5 Pt 2.83-2.85
Au 0.3741 0.7500 0.2506  7 Au 2.82-2.87, 5 Pt 2.83-2.85
Au 0.3747 0.7500 0.9168  7 Au 2.82-2.87, 5 Pt 2.83-2.90
Au 0.6253 0.2500 0.0832  7 Au 2.82-2.87, 5 Pt 2.83-2.90
Au 0.6259 0.2500 0.7494  7 Au 2.82-2.87, 5 Pt 2.83-2.85
Au 0.8741 0.7500 0.2494  7 Au 2.82-2.87, 5 Pt 2.83-2.85
Au 0.8747 0.7500 0.5832  7 Au 2.82-2.87, 5 Pt 2.83-2.90

Computed properties:
* crystal system: orthorhombic
* relative energy among the computed polymorphs: 10 meV/atom

***

Record 7
Entry from the Alexandria database: a relaxed KNbS3 crystal (GGA-PBEsol).

Unit cell a=4.8290 b=4.8290 c=4.8290 alpha=90.00 beta=90.00 gamma=90.00
Last column: nearest neighbours and their distance in Å.
Positions (direct):
K 0.0000 0.0000 0.0000  12 S 3.41
Nb 0.5000 0.5000 0.5000  6 S 2.41
S 0.0000 0.5000 0.5000  2 Nb 2.41
S 0.5000 0.0000 0.5000  2 Nb 2.41
S 0.5000 0.5000 0.0000  2 Nb 2.41

Computed properties:
* crystal system: cubic
* energy relative to the elements, uncorrected: -0.9531 eV/atom
* relative energy among the computed polymorphs: 0 meV/atom

***

Record 8
Entry from the Alexandria database: a relaxed Mg3Cd crystal (GGA-PBEsol).

Unit cell a=8.1360 b=8.4981 c=5.2471 alpha=90.00 beta=90.00 gamma=90.00
Last column: nearest neighbours and their distance in Å.
Positions (direct):
Mg 0.0220 0.2500 0.0728  3 Cd 2.85-2.97
Mg 0.1749 0.0700 0.5774  3 Cd 2.83-2.94, 3 Mg 3.06-3.13
Mg 0.1749 0.4300 0.5774  3 Cd 2.83-2.94, 3 Mg 3.06-3.13
Mg 0.3251 0.5700 0.0774  3 Cd 2.83-2.94, 3 Mg 3.06-3.13
Mg 0.3251 0.9300 0.0774  3 Cd 2.83-2.94, 3 Mg 3.06-3.13
Mg 0.4780 0.7500 0.5728  3 Cd 2.85-2.97
Mg 0.5220 0.2500 0.4272  3 Cd 2.85-2.97
Mg 0.6749 0.0700 0.9226  3 Cd 2.83-2.94, 3 Mg 3.06-3.13
Mg 0.6749 0.4300 0.9226  3 Cd 2.83-2.94, 3 Mg 3.06-3.13
Mg 0.8251 0.5700 0.4226  3 Cd 2.83-2.94, 3 Mg 3.06-3.13
Mg 0.8251 0.9300 0.4226  3 Cd 2.83-2.94, 3 Mg 3.06-3.13
Mg 0.9780 0.7500 0.9272  3 Cd 2.85-2.97
Cd 0.1333 0.7500 0.4404  9 Mg 2.83-2.97
Cd 0.3667 0.2500 0.9404  9 Mg 2.83-2.97
Cd 0.6333 0.7500 0.0596  9 Mg 2.83-2.97
Cd 0.8667 0.2500 0.5596  9 Mg 2.83-2.97

Computed properties:
* crystal system: orthorhombic

***

Record 9
Entry from the Alexandria database: a relaxed SrLaTe2 crystal (GGA-PBEsol).

Unit cell a=9.9280 b=9.9280 c=9.9280 alpha=27.44 beta=27.44 gamma=27.44
Last column: nearest neighbours and their distance in Å.
Positions (direct):
Sr 0.0000 0.0000 0.0000  6 Te 3.27
La 0.5000 0.5000 0.5000  2 Te 2.95
Te 0.3969 0.3969 0.3969  1 La 2.95, 3 Sr 3.27
Te 0.6031 0.6031 0.6031  1 La 2.95, 3 Sr 3.27

Computed properties:
* crystal system: trigonal
* energy relative to the elements, uncorrected: -0.8763 eV/atom
* relative energy among the computed polymorphs: 761 meV/atom

***

Record 10
Entry from the Alexandria database: a relaxed Li5V2Cr2O8 crystal (GGA-PBEsol).

Unit cell a=5.9534 b=5.9534 c=5.7645 alpha=118.49 beta=118.49 gamma=58.92
Last column: nearest neighbours and their distance in Å.
Positions (direct):
Li 0.0000 0.0000 0.0000  6 O 2.08-2.25, 2 Li 2.24
Li 0.0000 0.5000 0.0000  6 O 2.09-2.31, 2 Li 2.23
Li 0.0755 0.0755 0.7033  3 O 1.81-1.83, 1 Li 1.98
Li 0.5000 0.0000 0.0000  6 O 2.09-2.31, 2 Li 2.23
Li 0.9245 0.9245 0.2967  3 O 1.81-1.83, 1 Li 1.98
V 0.5000 0.5000 0.0000  6 O 2.04-2.05
V 0.5000 0.5000 0.5000  6 O 2.04-2.09
Cr 0.0000 0.5000 0.5000  6 O 2.02
Cr 0.5000 0.0000 0.5000  6 O 2.02
O 0.2380 0.7284 0.7342  1 Li 1.83, 1 Cr 2.02, 2 V 2.04
O 0.2591 0.2591 0.2683  2 Cr 2.02, 1 V 2.09, 3 Li 2.09-2.25
O 0.2639 0.2639 0.7536  1 Li 1.81, 2 Cr 2.02
O 0.2716 0.7620 0.2658  1 Li 1.83, 1 Cr 2.02, 2 V 2.04
O 0.7284 0.2380 0.7342  1 Li 1.83, 1 Cr 2.02, 2 V 2.04
O 0.7361 0.7361 0.2464  1 Li 1.81, 2 Cr 2.02
O 0.7409 0.7409 0.7317  2 Cr 2.02, 1 V 2.09, 3 Li 2.09-2.25
O 0.7620 0.2716 0.2658  1 Li 1.83, 1 Cr 2.02, 2 V 2.04

Computed properties:
* crystal system: monoclinic
* energy relative to the elements, uncorrected: -1.9418 eV/atom

***

Record 11
Entry from the Alexandria database: a relaxed Cs3CeCl6 crystal (GGA-PBEsol).

Unit cell a=8.3769 b=8.3769 c=8.3769 alpha=60.00 beta=60.00 gamma=60.00
Last column: nearest neighbours and their distance in Å.
Positions (direct):
Cs 0.0000 0.0000 0.0000  6 Cl 3.21
Cs 0.2500 0.2500 0.2500  12 Cl 4.20
Cs 0.7500 0.7500 0.7500  12 Cl 4.20
Ce 0.5000 0.5000 0.5000  6 Cl 2.71
Cl 0.2708 0.2708 0.7292  1 Ce 2.71
Cl 0.2708 0.7292 0.2708  1 Ce 2.71
Cl 0.2708 0.7292 0.7292  1 Ce 2.71
Cl 0.7292 0.2708 0.2708  1 Ce 2.71
Cl 0.7292 0.2708 0.7292  1 Ce 2.71
Cl 0.7292 0.7292 0.2708  1 Ce 2.71

Computed properties:
* crystal system: cubic
* energy relative to the elements, uncorrected: -2.0163 eV/atom

***

Record 12
Entry from the Alexandria database: a relaxed Mg3Hg4 crystal (GGA-PBEsol).

Unit cell a=10.6360 b=10.6360 c=10.6360 alpha=159.47 beta=159.47 gamma=29.19
Last column: nearest neighbours and their distance in Å.
Positions (direct):
Mg 0.0000 0.0000 0.0000  10 Hg 3.05-3.07
Mg 0.2916 0.2916 0.0000  6 Hg 2.83-2.94
Mg 0.7084 0.7084 0.0000  6 Hg 2.83-2.94
Hg 0.1492 0.1492 0.0000  6 Mg 2.93-3.07, 4 Hg 3.13
Hg 0.4293 0.4293 0.0000  5 Mg 2.83-3.05, 5 Hg 2.91-3.13
Hg 0.5707 0.5707 0.0000  5 Mg 2.83-3.05, 5 Hg 2.91-3.13
Hg 0.8508 0.8508 0.0000  6 Mg 2.93-3.07, 4 Hg 3.13

Computed properties:
* crystal system: tetragonal

***

What are the E_tot values for these records? In order: -9.07, -5.17, -8.69, -3.71, -1.99, -4.89, -5.97, -1.63, -4.44, -7.33, -4.16, -1.28 eV/atom.